Density functional theory data (PBE) for a relaxed La2ScCu3Ge4 crystal.

## Properties
As for the density of states at the Fermi level: 2.2 states/eV/f.u. The formation energy from the elements comes out at -610.3 meV per atom. The symmetry is P-4m2 (115). The value obtained for the uncorrected energy is -5.30 eV/atom.

Unit cell a=4.321 b=4.321 c=10.607 alpha=90.00 beta=90.00 gamma=90.00
Sites, in units of the cell vectors:
1 La 0.000 0.500 0.233
2 La 0.500 0.000 0.767
3 Sc 0.000 0.000 0.500
4 Cu 0.000 0.500 0.881
5 Cu 0.500 0.000 0.119
6 Cu 0.500 0.500 0.500
7 Ge 0.000 0.000 0.000
8 Ge 0.000 0.500 0.649
9 Ge 0.500 0.000 0.351
10 Ge 0.500 0.500 0.000